No. 1
A plane-wave DFT calculation with PBE-GGA was carried out for a geometry-optimized NiCSe2Br structure.

As for the uncorrected energy: -0.2533 Ry/atom. The mass density is 4.3 g/cm³. The value obtained for the total magnetization is 1.087 μB per formula unit. The energy above the most stable polymorph in this dataset is 0.000 eV/atom.

Geometry as POSCAR:
```
NiCSe2Br
1.0
4.0626 0.0000 0.0000
0.0000 4.0626 0.0000
0.0000 0.0000 7.1534
Ni C Se Br
1 1 2 1
Cartesian
0.0000 0.0000 0.0000 Ni
2.0313 2.0313 3.5767 C
0.0000 2.0313 3.5767 Se
2.0313 0.0000 3.5767 Se
2.0313 2.0313 0.0000 Br
```

No. 2
A plane-wave DFT calculation with PBE-GGA was carried out for a geometry-optimized NiCSeBr2 structure.

As for the uncorrected energy: -0.2106 Ry/atom. The mass density is 4.6 g/cm³. The value obtained for the total magnetization is 0.406 μB per formula unit. The energy above the most stable polymorph in this dataset is 0.077 eV/atom.

Geometry as POSCAR:
```
NiCSeBr2
1.0
4.9005 0.0000 0.0000
0.0000 4.9005 0.0000
0.0000 0.0000 4.6523
Ni C Se Br
1 1 1 2
Cartesian
0.0000 0.0000 0.0000 Ni
2.4502 2.4502 2.3261 C
0.0000 0.0000 2.3261 Se
0.0000 2.4502 0.0000 Br
2.4502 0.0000 0.0000 Br
```

No. 3
A plane-wave DFT calculation with PBE-GGA was carried out for a geometry-optimized NiCSeBr2 structure.

As for the uncorrected energy: -0.2162 Ry/atom. The mass density is 5.3 g/cm³. The value obtained for the total magnetization is 1.381 μB per formula unit. The energy above the most stable polymorph in this dataset is 0.000 eV/atom.

Geometry as POSCAR:
```
NiCSeBr2
1.0
4.7689 0.0000 0.0000
0.0000 4.7689 0.0000
0.0000 0.0000 4.2765
Ni C Se Br
1 1 1 2
Cartesian
0.0000 0.0000 0.0000 Ni
2.3844 2.3844 2.1383 C
2.3844 2.3844 0.0000 Se
0.0000 2.3844 2.1383 Br
2.3844 0.0000 2.1383 Br
```